[1]
Density functional theory data (PBE) for crystalline ScSnP2Cl at its relaxed geometry.

Properties
- Formation energy (no corrections): -21.8 kJ per mole of atoms
- Raw total energy: -4.83 eV/atom
- Symmetry: P4/mmm, No. 123

Cell: 5.032 5.032 4.883 Å, 90.00 90.00 90.00°
Sites, in units of the cell vectors:
Sc1 0.000 0.000 0.000
Sn1 0.500 0.500 0.500
P1 0.000 0.500 0.000
P2 0.500 0.000 0.000
Cl1 0.000 0.000 0.500


[2]
Density functional theory data (PBE) for crystalline SrScPCl2 at its relaxed geometry.

Properties
- Formation energy (no corrections): -53.9 kJ per mole of atoms
- Raw total energy: -3.98 eV/atom
- Symmetry: P4/mmm, No. 123

Cell: 5.244 5.244 6.047 Å, 90.00 90.00 90.00°
Sites, in units of the cell vectors:
Sr1 0.000 0.000 0.000
Sc1 0.500 0.500 0.500
P1 0.000 0.000 0.500
Cl1 0.000 0.500 0.000
Cl2 0.500 0.000 0.000


[3]
Density functional theory data (PBE) for crystalline SrScPCl2 at its relaxed geometry.

Properties
- Formation energy (no corrections): -149.9 kJ per mole of atoms
- Raw total energy: -4.98 eV/atom
- Symmetry: P4/mmm, No. 123

Cell: 4.959 4.959 5.214 Å, 90.00 90.00 90.00°
Sites, in units of the cell vectors:
Sr1 0.000 0.000 0.000
Sc1 0.500 0.500 0.500
P1 0.500 0.500 0.000
Cl1 0.000 0.500 0.500
Cl2 0.500 0.000 0.500


[4]
Density functional theory data (PBE) for crystalline SrScP2Cl at its relaxed geometry.

Properties
- Formation energy (no corrections): -97.0 kJ per mole of atoms
- Raw total energy: -5.14 eV/atom
- Symmetry: P4/mmm, No. 123

Cell: 4.945 4.945 5.207 Å, 90.00 90.00 90.00°
Sites, in units of the cell vectors:
Sr1 0.000 0.000 0.000
Sc1 0.500 0.500 0.500
P1 0.000 0.500 0.500
P2 0.500 0.000 0.500
Cl1 0.500 0.500 0.000


[5]
Density functional theory data (PBE) for crystalline SrScP2Cl at its relaxed geometry.

Properties
- Formation energy (no corrections): 23.2 kJ per mole of atoms
- Raw total energy: -3.90 eV/atom
- Symmetry: P4/mmm, No. 123

Cell: 5.401 5.401 5.196 Å, 90.00 90.00 90.00°
Sites, in units of the cell vectors:
Sr1 0.000 0.000 0.000
Sc1 0.500 0.500 0.500
P1 0.000 0.500 0.000
P2 0.500 0.000 0.000
Cl1 0.000 0.000 0.500


[6]
Density functional theory data (PBE) for crystalline ScTaP2Cl at its relaxed geometry.

Properties
- Formation energy (no corrections): -16.5 kJ per mole of atoms
- Raw total energy: -6.34 eV/atom
- Symmetry: P4/mmm, No. 123

Cell: 4.873 4.873 4.646 Å, 90.00 90.00 90.00°
Sites, in units of the cell vectors:
Sc1 0.000 0.000 0.000
Ta1 0.500 0.500 0.500
P1 0.000 0.500 0.500
P2 0.500 0.000 0.500
Cl1 0.500 0.500 0.000


[7]
Density functional theory data (PBE) for crystalline ScTaPCl2 at its relaxed geometry.

Properties
- Formation energy (no corrections): 7.6 kJ per mole of atoms
- Raw total energy: -5.38 eV/atom
- Symmetry: P4/mmm, No. 123

Cell: 4.671 4.671 5.492 Å, 90.00 90.00 90.00°
Sites, in units of the cell vectors:
Sc1 0.000 0.000 0.000
Ta1 0.500 0.500 0.500
P1 0.000 0.000 0.500
Cl1 0.000 0.500 0.000
Cl2 0.500 0.000 0.000


[8]
Density functional theory data (PBE) for crystalline ScTaPCl2 at its relaxed geometry.

Properties
- Formation energy (no corrections): -19.4 kJ per mole of atoms
- Raw total energy: -5.66 eV/atom
- Symmetry: P4/mmm, No. 123

Cell: 4.737 4.737 5.032 Å, 90.00 90.00 90.00°
Sites, in units of the cell vectors:
Sc1 0.000 0.000 0.000
Ta1 0.500 0.500 0.500
P1 0.500 0.500 0.000
Cl1 0.000 0.500 0.500
Cl2 0.500 0.000 0.500


Among the records above, which one has the highest formation energy (no corrections)? number 5